No. 1
A plane-wave DFT calculation with PBE was carried out for a relaxed Tb3Sm2Ho6Th crystal.

## Properties
The value obtained for the formation energy from the elements is 2 kJ/mol of atoms. The calculation puts the magnetization at 0.000 μB/cell.

a = 6.166 Å, b = 6.166 Å, c = 11.749 Å
α = 95.02°, β = 95.02°, γ = 119.96°
Atoms (fractional coordinates):
Tb 0.000 0.000 0.000
Tb 0.333 0.667 0.000
Tb 0.667 0.333 0.000
Sm 0.167 0.833 0.500
Sm 0.833 0.167 0.500
Ho 0.086 0.416 0.250
Ho 0.255 0.255 0.750
Ho 0.416 0.086 0.250
Ho 0.584 0.914 0.750
Ho 0.745 0.745 0.250
Ho 0.914 0.584 0.750
Th 0.500 0.500 0.500

No. 2
A plane-wave DFT calculation with PBE was carried out for a relaxed CsNpBr2F8 crystal.

## Properties
The calculation puts the magnetization at 2.000 μB/cell. The value obtained for the formation energy from raw total energies is -2249 meV/atom.

a = 6.828 Å, b = 6.828 Å, c = 7.948 Å
α = 90.00°, β = 90.00°, γ = 120.00°
Atoms (fractional coordinates):
Cs 0.000 0.000 0.000
Np 0.000 0.000 0.500
Br 0.333 0.667 0.362
Br 0.667 0.333 0.638
F 0.139 0.277 0.661
F 0.139 0.861 0.661
F 0.277 0.139 0.339
F 0.333 0.667 0.134
F 0.667 0.333 0.866
F 0.723 0.861 0.661
F 0.861 0.139 0.339
F 0.861 0.723 0.339

Calculated density readings, ordered: 8.71, 3.53 g cm⁻³
Total DFT energy (no corrections) readings, ordered: -4.83, -4.92 eV/atom